The following is a PBE calculation of an optimized crystal structure of CaSiS3, from Alexandria.

**Energy relative to the elements, uncorrected**: -0.747 eV per atom
**Density of states at the Fermi level**: 1.96 states/eV per cell
**Total magnetization**: 0.0 μB/cell
**Uncorrected energy**: -23.54 eV/cell

Lattice parameters (Å, degrees): 4.6053 4.6053 4.6053 90.00 90.00 90.00
Atoms (fractional coordinates):
Ca: 0.0000 0.0000 0.0000
Si: 0.5000 0.5000 0.5000
S: 0.0000 0.5000 0.5000
S: 0.5000 0.0000 0.5000
S: 0.5000 0.5000 0.0000

***

The following is a PBE calculation of an optimized crystal structure of CaSiSn2S, from Alexandria.

**Energy relative to the elements, uncorrected**: 0.115 eV per atom
**Density of states at the Fermi level**: 2.00 states/eV per cell
**Total magnetization**: 0.0 μB/cell
**Uncorrected energy**: -18.98 eV/cell

Lattice parameters (Å, degrees): 5.0752 5.0752 5.7832 90.00 90.00 90.00
Atoms (fractional coordinates):
Ca: 0.0000 0.0000 0.0000
Si: 0.0000 0.0000 0.5000
Sn: 0.0000 0.5000 0.5000
Sn: 0.5000 0.0000 0.5000
S: 0.5000 0.5000 0.0000

***

The following is a PBE calculation of an optimized crystal structure of SrCaSiS4, from Alexandria.

**Energy relative to the elements, uncorrected**: -1.549 eV per atom
**Density of states at the Fermi level**: 0.00 states/eV per cell
**Total magnetization**: 0.0 μB/cell
**Uncorrected energy**: -72.91 eV/cell

Lattice parameters (Å, degrees): 6.5491 6.6595 8.0558 90.00 107.62 90.00
Atoms (fractional coordinates):
Sr: 0.2372 0.2500 0.4334
Sr: 0.7628 0.7500 0.5666
Ca: 0.2749 0.2500 0.9480
Ca: 0.7251 0.7500 0.0520
Si: 0.2709 0.7500 0.1892
Si: 0.7291 0.2500 0.8108
S: 0.0799 0.7500 0.3621
S: 0.0871 0.7500 0.9242
S: 0.4881 0.5021 0.2445
S: 0.4881 0.9979 0.2445
S: 0.5119 0.0021 0.7555
S: 0.5119 0.4979 0.7555
S: 0.9129 0.2500 0.0758
S: 0.9201 0.2500 0.6379

***

The following is a PBE calculation of an optimized crystal structure of CaTl2Si2S6, from Alexandria.

**Energy relative to the elements, uncorrected**: -0.715 eV per atom
**Total magnetization**: 0.0 μB/cell
**Uncorrected energy**: -50.21 eV/cell

Lattice parameters (Å, degrees): 8.6313 8.6313 8.6313 48.02 48.02 48.02
Atoms (fractional coordinates):
Ca: 0.0000 0.0000 0.0000
Tl: 0.2128 0.2128 0.2128
Tl: 0.7872 0.7872 0.7872
Si: 0.4152 0.4152 0.4152
Si: 0.5848 0.5848 0.5848
S: 0.2450 0.7471 0.7471
S: 0.2529 0.2529 0.7550
S: 0.2529 0.7550 0.2529
S: 0.7471 0.2450 0.7471
S: 0.7471 0.7471 0.2450
S: 0.7550 0.2529 0.2529